A relaxed structure of KLa2Hg6, computed with PBE-GGA.

Space group: No. 191
Energy relative to the elements (kJ per mole of atoms): -36.03

Lattice parameters (Å, degrees): 8.9798 8.9798 3.5478 90.00 90.00 120.00
Sites, in units of the cell vectors:
1 K 0.0000 0.0000 0.0000
2 La 0.3333 0.6667 0.0000
3 La 0.6667 0.3333 0.0000
4 Hg 0.0000 0.3345 0.5000
5 Hg 0.0000 0.6655 0.5000
6 Hg 0.3345 0.0000 0.5000
7 Hg 0.3345 0.3345 0.5000
8 Hg 0.6655 0.0000 0.5000
9 Hg 0.6655 0.6655 0.5000

A relaxed structure of LaNi2Ru, computed with PBE-GGA.

Space group: No. 123
Energy relative to the elements (kJ per mole of atoms): 10.07

Lattice parameters (Å, degrees): 4.1062 4.1062 3.8554 90.00 90.00 90.00
Sites, in units of the cell vectors:
1 La 0.0000 0.0000 0.0000
2 Ni 0.0000 0.5000 0.5000
3 Ni 0.5000 0.0000 0.5000
4 Ru 0.5000 0.5000 0.0000

A relaxed structure of Tl3CdAg2Cl8, computed with PBE-GGA.

Final energy (eV per atom): -2.766
Space group: No. 164

Lattice parameters (Å, degrees): 7.3369 7.3369 9.3106 90.00 90.00 120.00
Sites, in units of the cell vectors:
1 Tl 0.0000 0.0000 0.0000
2 Tl 0.3333 0.6667 0.6061
3 Tl 0.6667 0.3333 0.3939
4 Cd 0.0000 0.0000 0.5000
5 Ag 0.3333 0.6667 0.1798
6 Ag 0.6667 0.3333 0.8202
7 Cl 0.1618 0.3237 0.3255
8 Cl 0.1618 0.8382 0.3255
9 Cl 0.3237 0.1618 0.6745
10 Cl 0.3333 0.6667 0.9222
11 Cl 0.6667 0.3333 0.0778
12 Cl 0.6763 0.8382 0.3255
13 Cl 0.8382 0.1618 0.6745
14 Cl 0.8382 0.6763 0.6745

A relaxed structure of Pr3HI7, computed with PBE-GGA.

Final energy (eV per atom): -3.792
Space group: No. 156

Lattice parameters (Å, degrees): 8.6970 8.6970 7.6915 90.00 90.00 120.00
Sites, in units of the cell vectors:
1 Pr 0.0164 0.5082 0.0000
2 Pr 0.4918 0.5082 0.0000
3 Pr 0.4918 0.9836 0.0000
4 H 0.3333 0.6667 0.0662
5 I 0.1638 0.3275 0.7496
6 I 0.1638 0.8362 0.7496
7 I 0.3307 0.1653 0.2402
8 I 0.6667 0.3333 0.7567
9 I 0.6725 0.8362 0.7496
10 I 0.8347 0.1653 0.2402
11 I 0.8347 0.6693 0.2402

Calculated ρ, 10.191, 9.129, 4.686, 4.324 g cm⁻³ (same order as the records).